RbMnSn2F | PBE+U | optimized geometry

```
data_RbMnSn2F
_chemical_formula_sum 'Rb1 Mn1 Sn2 F1'
_space_group_name_H-M_alt 'P 1'
_space_group_IT_number 1
_space_group_name_Hall 'P 1'
_cell_length_a 5.997
_cell_length_b 5.997
_cell_length_c 4.071
_cell_angle_alpha 90.00
_cell_angle_beta 90.00
_cell_angle_gamma 90.00
loop_
_atom_site_label
_atom_site_type_symbol
_atom_site_fract_x
_atom_site_fract_y
_atom_site_fract_z
Rb1 Rb 0.000 0.000 0.000
Mn1 Mn 0.500 0.500 0.000
Sn1 Sn 0.000 0.500 0.500
Sn2 Sn 0.500 0.000 0.500
F1 F 0.500 0.500 0.500
```

**ρ**: 4.50 Mg/m³
**Volume**: 146.4 Å³/cell
**VASP energy**: -3.914 eV/atom